Entry 1:
This record from Alexandria describes a relaxed Sr2FeW crystal. The functional is PBE.

Structure (POSCAR):
```
Sr2FeW
1.0
5.7909 0.0000 0.0000
0.0000 5.7909 0.0000
0.0000 0.0000 3.0765
Sr W Fe
2 1 1
Direct
0.0000 0.0000 0.0000 Sr
0.5000 0.5000 0.0000 Sr
0.5000 0.0000 0.5000 W
0.0000 0.5000 0.5000 Fe
```

Summary:
* ρ: 6.7 g/cm³
* calculated formation energy: 1.40 eV/atom
* M_tot: 1.01 μB per atom
* SG: P4/mmm
* Fermi-level density of states: 7.67 states/eV per cell
* uncorrected energy: -4.799 eV per atom
* energy above the most stable polymorph in this dataset: 891.5 meV per atom

Entry 2:
This record from Alexandria describes a relaxed LiTeP crystal. The functional is PBE.

Structure (POSCAR):
```
LiTeP
1.0
4.4344 0.0000 0.0000
2.2172 3.8403 0.0000
2.2172 1.2801 3.6206
Te P Li
1 1 1
Direct
0.5000 0.5000 0.5000 Te
0.0000 0.0000 0.0000 P
0.7500 0.7500 0.7500 Li
```

Summary:
* ρ: 4.5 g/cm³
* formation energy (no corrections): -1.6 kJ per mole of atoms
* M_tot: 0.00 μB per atom
* SG: F-43m
* Fermi-level density of states: 1.42 states/eV per cell
* uncorrected energy: -3.505 eV per atom
* energy above the most stable polymorph in this dataset: 148.1 meV per atom

Entry 3:
This record from Alexandria describes a relaxed K2PrI5 crystal. The functional is PBE.

Structure (POSCAR):
```
K2PrI5
1.0
-8.6435 -2.5903 -1.1864
2.0599 -3.0764 -8.3140
4.7395 -3.1513 7.3275
I K Pr
5 2 1
Direct
0.8177 0.2866 0.1041 I
0.2863 0.8175 0.1036 I
0.8178 0.8178 0.1045 I
0.2861 0.2860 0.1031 I
0.7678 0.7682 0.5374 I
0.6545 0.1546 0.3087 K
0.1550 0.6544 0.3087 K
0.9918 0.9919 0.9840 Pr
```

Summary:
* ρ: 2.6 g/cm³
* formation energy (no corrections): -131.9 kJ per mole of atoms
* M_tot: 0.00 μB per atom
* SG: Cm
* Fermi-level density of states: 0.00 states/eV per cell
* uncorrected energy: -3.208 eV per atom
* energy above the most stable polymorph in this dataset: 96.9 meV per atom

Entry 4:
This record from Alexandria describes a relaxed LiErPaAl crystal. The functional is PBE.

Structure (POSCAR):
```
LiErPaAl
1.0
-0.8056 3.7648 -3.2367
1.4711 -0.4429 -4.7895
-3.4268 -0.5085 -3.6467
Al Er Pa Li
1 1 1 1
Direct
0.0000 0.0000 0.0000 Al
0.2500 0.2500 0.2500 Er
0.7500 0.7500 0.7500 Pa
0.5000 0.5000 0.5000 Li
```

Summary:
* ρ: 8.0 g/cm³
* calculated formation energy: 0.10 eV/atom
* M_tot: 0.00 μB per atom
* SG: F-43m
* Fermi-level density of states: 3.83 states/eV per cell
* uncorrected energy: -4.831 eV per atom

Entry 5:
This record from Alexandria describes a relaxed SrLi2Cd2Hg2 crystal. The functional is PBE.

Structure (POSCAR):
```
SrLi2Cd2Hg2
1.0
-1.0140 2.2385 -4.2695
1.0936 -2.2141 -4.2626
-7.3136 -3.4665 -2.9224
Cd Sr Hg Li
2 1 2 2
Direct
0.2520 0.2520 0.2440 Cd
0.7480 0.7480 0.7560 Cd
0.0000 0.0000 0.0000 Sr
0.5669 0.5669 0.2994 Hg
0.4331 0.4331 0.7006 Hg
0.8629 0.8629 0.4112 Li
0.1371 0.1371 0.5888 Li
```

Summary:
* ρ: 7.1 g/cm³
* calculated formation energy: -0.29 eV/atom
* M_tot: 0.00 μB per atom
* SG: R-3m
* Fermi-level density of states: 3.45 states/eV per cell
* uncorrected energy: -1.424 eV per atom

Entry 6:
This record from Alexandria describes a relaxed TlVPb2 crystal. The functional is PBE.

Structure (POSCAR):
```
TlVPb2
1.0
-4.4275 -0.7823 0.5066
0.5371 -0.1314 4.4906
-3.7773 10.2565 3.0311
Pb Tl V
4 2 2
Direct
0.1340 0.6250 0.2500 Pb
0.3750 0.3840 0.7500 Pb
0.6160 0.1250 0.2500 Pb
0.8750 0.8660 0.7500 Pb
0.0000 0.0000 0.0000 Tl
0.7500 0.2500 0.5000 Tl
0.5000 0.5000 0.0000 V
0.2500 0.7500 0.5000 V
```

Summary:
* ρ: 10.0 g/cm³
* calculated formation energy: 0.59 eV/atom
* M_tot: 0.81 μB per atom
* SG: I-42d
* Fermi-level density of states: 9.30 states/eV per cell
* uncorrected energy: -4.138 eV per atom
* energy above the most stable polymorph in this dataset: 93.2 meV per atom